VASP calculation (GGA-PBE) on a relaxed BaAsP2 crystal.

Cell lengths 3.922, 3.922, 6.355 Å; angles 90.00, 90.00, 101.25 degrees
Fractional coordinates of all 4 atoms:
Ba1 0.500 0.500 0.000
As1 0.500 0.500 0.500
P1 0.000 0.000 0.328
P2 0.000 0.000 0.672

Space-group type: Cmmm (65)
Volume in Å³ per atom: 23.97
Total DFT energy (no corrections) in eV/atom: -4.488
Magnetic moment in μB/cell: 0.000